(1)
Compound: YHf2FeIr
Source: the Alexandria database
Functional: PBEsol
Structure: relaxed

Cell lengths 4.962, 4.962, 4.751 Å; angles 90.00, 90.00, 90.00 degrees
Space group P4/mmm (No. 123)
Asymmetric unit:
Y: 0.000 0.000 0.000
Hf: 0.000 0.500 0.000
Fe: 0.500 0.500 0.500
Ir: 0.000 0.000 0.500

Values from the calculation:
Formation energy, eV per atom: 1.982


(2)
Compound: KHfFe2Pb
Source: the Alexandria database
Functional: PBEsol
Structure: relaxed

Cell lengths 4.806, 4.806, 5.641 Å; angles 90.00, 90.00, 90.00 degrees
Space group P4/mmm (No. 123)
Asymmetric unit:
K: 0.000 0.000 0.000
Hf: 0.500 0.500 0.500
Fe: 0.000 0.500 0.500
Pb: 0.500 0.500 0.000

Values from the calculation:
Formation energy, eV per atom: 1.132


(3)
Compound: LaHfFe3
Source: the Alexandria database
Functional: PBEsol
Structure: relaxed

Cell lengths 4.392, 4.392, 4.392 Å; angles 90.00, 90.00, 90.00 degrees
Space group Pm-3m (No. 221)
Asymmetric unit:
La: 0.000 0.000 0.000
Hf: 0.500 0.500 0.500
Fe: 0.000 0.000 0.500

Values from the calculation:
Formation energy, eV per atom: 1.385


(4)
Compound: LaHfFeO2
Source: the Alexandria database
Functional: PBEsol
Structure: relaxed

Cell lengths 4.280, 4.280, 5.235 Å; angles 90.00, 90.00, 90.00 degrees
Space group P4/mmm (No. 123)
Asymmetric unit:
La: 0.000 0.000 0.000
Hf: 0.500 0.500 0.500
Fe: 0.000 0.000 0.500
O: 0.000 0.500 0.000

Values from the calculation:
ΔE_f (raw), meV per atom: -176
Polymorph energy (0 for the lowest one), meV per atom: 194


(5)
Compound: LaHfFeO2
Source: the Alexandria database
Functional: PBEsol
Structure: relaxed

Cell lengths 4.112, 4.112, 4.436 Å; angles 90.00, 90.00, 90.00 degrees
Space group P4/mmm (No. 123)
Asymmetric unit:
La: 0.000 0.000 0.000
Hf: 0.500 0.500 0.000
Fe: 0.500 0.500 0.500
O: 0.000 0.500 0.500

Values from the calculation:
ΔE_f (raw), meV per atom: -370
Polymorph energy (0 for the lowest one), meV per atom: 0


(6)
Compound: Hf2MnFeSi
Source: the Alexandria database
Functional: PBEsol
Structure: relaxed

Cell lengths 4.686, 4.686, 4.038 Å; angles 90.00, 90.00, 90.00 degrees
Space group P4/mmm (No. 123)
Asymmetric unit:
Hf: 0.000 0.500 0.000
Mn: 0.000 0.000 0.500
Fe: 0.000 0.000 0.000
Si: 0.500 0.500 0.500

Values from the calculation:
ΔE_f (raw), meV per atom: 386